1.
Entry from the Alexandria database: an optimized crystal structure of Cs2TlHg2I7 (PBE).

a b c (Å): 6.0499 6.0499 15.8243
angles (deg): 78.99 78.99 90.02
Closest atoms and distances in Å follow each position.
Atoms (fractional coordinates):
Hg: 0.6005 0.6005 0.7975  6 I 2.94-3.09
I: 0.3019 0.3019 0.3952  1 Hg 2.94
Tl: 0.0000 0.0000 0.0000  12 I 4.02-4.28
I: 0.4137 0.9135 0.1737  2 Hg 3.05-3.06
I: 0.5863 0.0865 0.8263  2 Hg 3.05-3.06
I: 0.5000 0.5000 0.0000  2 Hg 3.09
I: 0.9135 0.4137 0.1737  2 Hg 3.05-3.06
Cs: 0.1727 0.1727 0.6534  9 I 3.93-4.35
Cs: 0.8273 0.8273 0.3466  9 I 3.93-4.35
I: 0.0865 0.5863 0.8263  2 Hg 3.05-3.06
I: 0.6981 0.6981 0.6048  1 Hg 2.94
Hg: 0.3995 0.3995 0.2025  6 I 2.94-3.09

Values from the calculation:
raw formation energy: -8.5 eV/f.u.
space-group type: C2/m (12)
total magnetization: 0.000 μB per atom
calculated volume: 46.47 Å³/atom

---

2.
Entry from the Alexandria database: an optimized crystal structure of SmDy5Ho7 (PBE).

a b c (Å): 6.6608 8.6494 8.6494
angles (deg): 79.45 67.35 67.35
Closest atoms and distances in Å follow each position.
Atoms (fractional coordinates):
Ho: 0.0194 0.6505 0.3108  5 Dy 3.42-3.47, 4 Ho 3.42-3.77, 1 Sm 3.70
Ho: 0.2705 0.7295 0.7295  6 Dy 3.33-3.49, 1 Sm 3.50, 1 Ho 3.52
Ho: 0.5188 0.8116 0.1508  5 Ho 3.44-3.77, 5 Dy 3.45-3.46
Ho: 0.5761 0.4239 0.4239  7 Ho 3.52-3.88, 4 Dy 3.70
Dy: 0.5354 0.4603 0.0036  4 Ho 3.09-3.45, 2 Dy 3.10-3.38
Ho: 0.5188 0.1508 0.8116  5 Ho 3.44-3.77, 5 Dy 3.45-3.46
Dy: 0.0007 0.0036 0.4603  4 Ho 3.09-3.45, 2 Dy 3.10-3.38
Sm: 0.9662 0.0338 0.0338  7 Ho 3.50-3.87, 4 Dy 3.74
Ho: 0.0194 0.3108 0.6505  5 Dy 3.42-3.47, 4 Ho 3.42-3.77, 1 Sm 3.70
Dy: 0.5354 0.0036 0.4603  4 Ho 3.09-3.45, 2 Dy 3.10-3.38
Dy: 0.7708 0.7292 0.7292  6 Ho 3.33-3.46, 4 Dy 3.38
Dy: 0.0007 0.4603 0.0036  4 Ho 3.09-3.45, 2 Dy 3.10-3.38
Ho: 0.2680 0.2320 0.2320  4 Dy 3.09, 4 Ho 3.42-3.44

Values from the calculation:
space-group type: Imm2 (44)
formation enthalpy at 0 K: 0.253 eV per atom
total magnetization: 0.000 μB per atom
calculated volume: 32.62 Å³/atom

---

3.
Entry from the Alexandria database: an optimized crystal structure of Cu5PbO8 (PBE).

a b c (Å): 6.0837 6.0837 6.0837
angles (deg): 60.00 60.00 60.00
Closest atoms and distances in Å follow each position.
Atoms (fractional coordinates):
Cu: 0.6279 0.6279 0.6279  6 O 2.04-2.05
O: 0.8654 0.8654 0.4038  4 Cu 2.01-2.05
O: 0.3921 0.8238 0.3921  3 Cu 2.04, 1 Pb 2.12
O: 0.8654 0.8654 0.8654  4 Cu 2.01-2.05
O: 0.4038 0.8654 0.8654  4 Cu 2.01-2.05
O: 0.3921 0.3921 0.8238  3 Cu 2.04, 1 Pb 2.12
Cu: 0.6279 0.1164 0.6279  6 O 2.04-2.05
Cu: 0.1164 0.6279 0.6279  6 O 2.04-2.05
Cu: 0.0000 0.0000 0.0000  4 O 2.01
O: 0.8654 0.4038 0.8654  4 Cu 2.01-2.05
Cu: 0.6279 0.6279 0.1164  6 O 2.04-2.05
O: 0.8238 0.3921 0.3921  3 Cu 2.04, 1 Pb 2.12
Pb: 0.2500 0.2500 0.2500  4 O 2.12
O: 0.3921 0.3921 0.3921  3 Cu 2.04, 1 Pb 2.12

Values from the calculation:
raw formation energy: -7.1 eV/f.u.
space-group type: F-43m (216)
total magnetization: 0.466 μB per atom
calculated volume: 11.37 Å³/atom